Density functional theory data (PBE) for a relaxed structure of Pr2SmZr.

E	-0.20107	Ha/atom
formation energy	0.235	eV per atom
M_tot	0.54	μB/cell
distance to the lowest polymorph of the same formula	98	meV/atom

abc: 5.602 5.602 5.602
angles: 60.00 60.00 60.00
Last column: magnetic moment on the atom in μB.
Element x y z (fractional)
Pr 0.250 0.250 0.250  0.04
Pr 0.750 0.750 0.750  0.04
Zr 0.000 0.000 0.000  0.29
Sm 0.500 0.500 0.500  -0.03